# 1
Here is Al2TlRu after structural relaxation from the Alexandria database. Energies are from PBE.

Unit cell a=4.333 b=3.282 c=5.016 alpha=90.37 beta=90.00 gamma=90.00
Fractional coordinates of all 4 atoms:
1 Ru 0.000 0.377 0.468
2 Tl 0.500 0.878 0.717
3 Al 0.500 0.373 0.226
4 Al 0.000 0.872 0.089

Raw total energy   -18.93 eV for the cell shown
Calculated density   8.365 g cm⁻³
DOS(E_F)   0.3508 states/eV per atom
M_tot   0.00 Bohr magnetons per cell

# 2
Here is K6NbCl12 after structural relaxation from the Alexandria database. Energies are from PBE.

Unit cell a=9.006 b=9.006 c=9.006 alpha=92.63 beta=92.63 gamma=92.63
Each line ends with the local moment (μB).
Fractional coordinates of all 19 atoms:
1 K 0.648 0.167 0.345  0.00
2 K 0.655 0.352 0.833  0.00
3 K 0.352 0.833 0.655  0.00
4 K 0.167 0.345 0.648  0.00
5 K 0.345 0.648 0.167  0.00
6 K 0.833 0.655 0.352  0.00
7 Cl 0.559 0.841 0.388  0.14
8 Cl 0.735 0.009 0.977  0.00
9 Cl 0.265 0.991 0.023  0.00
10 Cl 0.441 0.159 0.612  0.14
11 Cl 0.841 0.388 0.559  0.14
12 Cl 0.612 0.441 0.159  0.14
13 Cl 0.991 0.023 0.265  0.00
14 Cl 0.009 0.977 0.735  0.00
15 Cl 0.977 0.735 0.009  0.00
16 Cl 0.159 0.612 0.441  0.14
17 Cl 0.388 0.559 0.841  0.14
18 Cl 0.023 0.265 0.991  0.00
19 Nb 0.000 0.000 0.000  0.00

Calculated density   1.717 g cm⁻³
DOS(E_F)   0.5015 states/eV per atom
Energy relative to the elements, uncorrected   -151 kJ per mole of atoms
M_tot   1.18 Bohr magnetons per cell

# 3
Here is TaPtRh after structural relaxation from the Alexandria database. Energies are from PBE.

Unit cell a=4.439 b=4.439 c=2.812 alpha=90.00 beta=90.00 gamma=120.00
Fractional coordinates of all 3 atoms:
1 Ta 0.333 0.667 0.578
2 Rh 0.667 0.333 0.436
3 Pt 0.000 0.000 0.986

Raw total energy   -26.63 eV for the cell shown
Calculated density   16.569 g cm⁻³
DOS(E_F)   0.7507 states/eV per atom
M_tot   0.00 Bohr magnetons per cell

# 4
Here is TaBeAsBr2 after structural relaxation from the Alexandria database. Energies are from PBE.

Unit cell a=4.531 b=4.531 c=4.879 alpha=90.00 beta=90.00 gamma=90.00
Each line ends with the local moment (μB).
Fractional coordinates of all 5 atoms:
1 Br 0.500 0.000 0.000  -0.05
2 Br 0.000 0.500 0.000  -0.05
3 As 0.000 0.000 0.500  -0.13
4 Be 0.000 0.000 0.000  0.02
5 Ta 0.500 0.500 0.500  1.52

Calculated density   7.041 g cm⁻³
DOS(E_F)   0.5662 states/eV per atom
Energy relative to the elements, uncorrected   74 kJ per mole of atoms
M_tot   1.90 Bohr magnetons per cell

Please write out number 1 again, unchanged.
Here is Al2TlRu after structural relaxation from the Alexandria database. Energies are from PBE.

Unit cell a=4.333 b=3.282 c=5.016 alpha=90.37 beta=90.00 gamma=90.00
Fractional coordinates of all 4 atoms:
1 Ru 0.000 0.377 0.468
2 Tl 0.500 0.878 0.717
3 Al 0.500 0.373 0.226
4 Al 0.000 0.872 0.089

Raw total energy   -18.93 eV for the cell shown
Calculated density   8.365 g cm⁻³
DOS(E_F)   0.3508 states/eV per atom
M_tot   0.00 Bohr magnetons per cell

> Which formula does entry 1 have?

Al2TlRu

Please write out number 1 again, unchanged.
Here is Al2TlRu after structural relaxation from the Alexandria database. Energies are from PBE.

Unit cell a=4.333 b=3.282 c=5.016 alpha=90.37 beta=90.00 gamma=90.00
Fractional coordinates of all 4 atoms:
1 Ru 0.000 0.377 0.468
2 Tl 0.500 0.878 0.717
3 Al 0.500 0.373 0.226
4 Al 0.000 0.872 0.089

Raw total energy   -18.93 eV for the cell shown
Calculated density   8.365 g cm⁻³
DOS(E_F)   0.3508 states/eV per atom
M_tot   0.00 Bohr magnetons per cell